Entry 1:
{
  "formula": "ZnCu4",
  "functional": "PBE",
  "state": "relaxed",
  "lattice": [[4.5355, 0.0000, 0.0000], [0.0000, 4.5355, 0.0000], [0.0000, 0.0000, 7.1361]],
  "species": ["Zn", "Zn", "Cu", "Cu", "Cu", "Cu", "Cu", "Cu", "Cu", "Cu"],
  "fractional_positions": [[0.0000, 0.0000, 0.0000], [0.5000, 0.5000, 0.5000], [0.0000, 0.0000, 0.3413], [0.0000, 0.0000, 0.6587], [0.0000, 0.5000, 0.2500], [0.0000, 0.5000, 0.7500], [0.5000, 0.0000, 0.2500], [0.5000, 0.0000, 0.7500], [0.5000, 0.5000, 0.1587], [0.5000, 0.5000, 0.8413]],
  "formation_enthalpy_0k_ev_per_atom": 0.378,
  "sg": "I4/mmm (139)",
  "crystal_system": "tetragonal",
  "energy_ev_per_cell": -31.54,
  "polymorph_energy_mev_per_atom": 430.4
}

---

Entry 2:
{
  "formula": "Ca2AcSn",
  "functional": "PBE",
  "state": "relaxed",
  "lattice": [[8.1955, 0.0000, 0.0000], [0.0000, 8.1955, 0.0000], [0.0000, 0.0000, 8.1955]],
  "species": ["Ca", "Ca", "Ca", "Ca", "Ca", "Ca", "Ca", "Ca", "Ac", "Ac", "Ac", "Ac", "Sn", "Sn", "Sn", "Sn"],
  "fractional_positions": [[0.2500, 0.2500, 0.2500], [0.2500, 0.2500, 0.7500], [0.2500, 0.7500, 0.2500], [0.2500, 0.7500, 0.7500], [0.7500, 0.2500, 0.2500], [0.7500, 0.2500, 0.7500], [0.7500, 0.7500, 0.2500], [0.7500, 0.7500, 0.7500], [0.0000, 0.0000, 0.0000], [0.0000, 0.5000, 0.5000], [0.5000, 0.0000, 0.5000], [0.5000, 0.5000, 0.0000], [0.0000, 0.0000, 0.5000], [0.0000, 0.5000, 0.0000], [0.5000, 0.0000, 0.0000], [0.5000, 0.5000, 0.5000]],
  "formation_enthalpy_0k_ev_per_atom": -0.130,
  "sg": "Fm-3m (225)",
  "crystal_system": "cubic",
  "energy_ev_per_cell": -50.53,
  "polymorph_energy_mev_per_atom": 280.8
}